Record 1
Ba2BiS2 after structural relaxation, computed with GGA-PBE.

Results
E_form (uncorrected) (meV per atom): -910
E above lowest polymorph (meV per atom): 129

Cell and atoms, written as CIF:
```
data_Ba2BiS2
_cell_length_a 5.8004
_cell_length_b 5.8004
_cell_length_c 12.8337
_cell_angle_alpha 90.00
_cell_angle_beta 90.00
_cell_angle_gamma 90.00
_space_group_name_H-M_alt 'I 4/m m m'
_space_group_IT_number 139
_space_group_name_Hall '-I 4 2'
loop_
_atom_site_label
_atom_site_type_symbol
_atom_site_fract_x
_atom_site_fract_y
_atom_site_fract_z
Ba1 Ba 0.0000 0.0000 0.1778
Bi1 Bi 0.0000 0.0000 0.5000
S1 S 0.0000 0.5000 0.2500
```

***

Record 2
Ba2BiS after structural relaxation, computed with GGA-PBE.

Results
E_form (uncorrected) (meV per atom): -1033
E above lowest polymorph (meV per atom): 313

Cell and atoms, written as CIF:
```
data_Ba2BiS
_cell_length_a 8.3229
_cell_length_b 8.3229
_cell_length_c 8.3229
_cell_angle_alpha 90.00
_cell_angle_beta 90.00
_cell_angle_gamma 90.00
_space_group_name_H-M_alt 'F m -3 m'
_space_group_IT_number 225
_space_group_name_Hall '-F 4 2 3'
loop_
_atom_site_label
_atom_site_type_symbol
_atom_site_fract_x
_atom_site_fract_y
_atom_site_fract_z
Ba1 Ba 0.2500 0.2500 0.2500
Bi1 Bi 0.0000 0.0000 0.0000
S1 S 0.0000 0.0000 0.5000
```

***

Record 3
BaBi2S3 after structural relaxation, computed with GGA-PBE.

Results
E_form (uncorrected) (meV per atom): -522

Cell and atoms, written as CIF:
```
data_BaBi2S3
_cell_length_a 11.9455
_cell_length_b 9.5435
_cell_length_c 7.9752
_cell_angle_alpha 90.00
_cell_angle_beta 90.00
_cell_angle_gamma 90.00
_space_group_name_H-M_alt 'C m c m'
_space_group_IT_number 63
_space_group_name_Hall '-C 2c 2'
loop_
_atom_site_label
_atom_site_type_symbol
_atom_site_fract_x
_atom_site_fract_y
_atom_site_fract_z
Ba1 Ba 0.0000 0.1950 0.2500
Bi1 Bi 0.1779 0.5000 0.0000
S1 S 0.0000 0.4786 0.7500
S2 S 0.1728 0.0342 0.7500
```

***

Record 4
Ba2BiS after structural relaxation, computed with GGA-PBE.

Results
E_form (uncorrected) (meV per atom): -1139
E above lowest polymorph (meV per atom): 207

Cell and atoms, written as CIF:
```
data_Ba2BiS
_cell_length_a 8.6690
_cell_length_b 8.6690
_cell_length_c 9.3965
_cell_angle_alpha 90.00
_cell_angle_beta 90.00
_cell_angle_gamma 90.00
_space_group_name_H-M_alt 'I -4 2 d'
_space_group_IT_number 122
_space_group_name_Hall 'I -4 2bw'
loop_
_atom_site_label
_atom_site_type_symbol
_atom_site_fract_x
_atom_site_fract_y
_atom_site_fract_z
Ba1 Ba 0.2010 0.2500 0.1250
Bi1 Bi 0.0000 0.0000 0.5000
S1 S 0.0000 0.0000 0.0000
```

***

Record 5
Ba2BiS4 after structural relaxation, computed with GGA-PBE.

Results
E_form (uncorrected) (meV per atom): -1167
E above lowest polymorph (meV per atom): 75

Cell and atoms, written as CIF:
```
data_Ba2BiS4
_cell_length_a 5.2148
_cell_length_b 5.2148
_cell_length_c 15.9818
_cell_angle_alpha 90.00
_cell_angle_beta 90.00
_cell_angle_gamma 90.00
_space_group_name_H-M_alt 'I 4/m m m'
_space_group_IT_number 139
_space_group_name_Hall '-I 4 2'
loop_
_atom_site_label
_atom_site_type_symbol
_atom_site_fract_x
_atom_site_fract_y
_atom_site_fract_z
Ba1 Ba 0.0000 0.0000 0.1396
Bi1 Bi 0.0000 0.0000 0.5000
S1 S 0.0000 0.0000 0.3302
S2 S 0.0000 0.5000 0.0000
```

***

Record 6
Ba4BiS2 after structural relaxation, computed with GGA-PBE.

Results
E_form (uncorrected) (meV per atom): -1479

Cell and atoms, written as CIF:
```
data_Ba4BiS2
_cell_length_a 4.7782
_cell_length_b 15.1212
_cell_length_c 15.5510
_cell_angle_alpha 90.00
_cell_angle_beta 90.00
_cell_angle_gamma 90.00
_space_group_name_H-M_alt 'C m c m'
_space_group_IT_number 63
_space_group_name_Hall '-C 2c 2'
loop_
_atom_site_label
_atom_site_type_symbol
_atom_site_fract_x
_atom_site_fract_y
_atom_site_fract_z
Ba1 Ba 0.0000 0.0000 0.0000
Ba2 Ba 0.0000 0.2675 0.1177
Ba3 Ba 0.0000 0.4420 0.7500
Bi1 Bi 0.0000 0.1143 0.7500
S1 S 0.0000 0.3672 0.5570
```

***

Record 7
Ba2BiS after structural relaxation, computed with GGA-PBE.

Results
E_form (uncorrected) (meV per atom): -1346
E above lowest polymorph (meV per atom): 0

Cell and atoms, written as CIF:
```
data_Ba2BiS
_cell_length_a 4.5963
_cell_length_b 4.5963
_cell_length_c 25.9008
_cell_angle_alpha 90.00
_cell_angle_beta 90.00
_cell_angle_gamma 120.00
_space_group_name_H-M_alt 'R -3 m'
_space_group_IT_number 166
_space_group_name_Hall '-R 3 2"'
loop_
_atom_site_label
_atom_site_type_symbol
_atom_site_fract_x
_atom_site_fract_y
_atom_site_fract_z
Ba1 Ba 0.0000 0.0000 0.2377
Bi1 Bi 0.0000 0.0000 0.0000
S1 S 0.0000 0.0000 0.5000
```

***

Record 8
Ba7BiS5 after structural relaxation, computed with GGA-PBE.

Results
E_form (uncorrected) (meV per atom): -1758

Cell and atoms, written as CIF:
```
data_Ba7BiS5
_cell_length_a 4.6722
_cell_length_b 15.0947
_cell_length_c 27.2656
_cell_angle_alpha 90.00
_cell_angle_beta 90.00
_cell_angle_gamma 90.00
_space_group_name_H-M_alt 'C m c m'
_space_group_IT_number 63
_space_group_name_Hall '-C 2c 2'
loop_
_atom_site_label
_atom_site_type_symbol
_atom_site_fract_x
_atom_site_fract_y
_atom_site_fract_z
Ba1 Ba 0.0000 0.0325 0.2500
Ba2 Ba 0.0000 0.1357 0.5345
Ba3 Ba 0.0000 0.3229 0.1725
Ba4 Ba 0.0000 0.4093 0.6062
Bi1 Bi 0.0000 0.2938 0.7500
S1 S 0.0000 0.0418 0.6403
S2 S 0.0000 0.2276 0.0714
S3 S 0.0000 0.5000 0.0000
```

***

Record 9
Ba2BiS4 after structural relaxation, computed with GGA-PBE.

Results
E_form (uncorrected) (meV per atom): -1242
E above lowest polymorph (meV per atom): 0

Cell and atoms, written as CIF:
```
data_Ba2BiS4
_cell_length_a 7.9325
_cell_length_b 12.2107
_cell_length_c 4.3966
_cell_angle_alpha 90.00
_cell_angle_beta 90.00
_cell_angle_gamma 90.00
_space_group_name_H-M_alt 'P b a m'
_space_group_IT_number 55
loop_
_space_group_symop_operation_xyz
'x,y,z'
'-x,-y,-z'
'-x,-y,z'
'x,y,-z'
'x+1/2,-y+1/2,-z'
'-x+1/2,y+1/2,z'
'-x+1/2,y+1/2,-z'
'x+1/2,-y+1/2,z'
loop_
_atom_site_label
_atom_site_type_symbol
_atom_site_fract_x
_atom_site_fract_y
_atom_site_fract_z
Ba1 Ba 0.0898 0.1806 0.0000
Bi1 Bi 0.0000 0.5000 0.5000
S1 S 0.1310 0.7045 0.5000
S2 S 0.2166 0.4430 0.0000
```

***

Record 10
Ba2BiS2 after structural relaxation, computed with GGA-PBE.

Results
E_form (uncorrected) (meV per atom): -1039
E above lowest polymorph (meV per atom): 0

Cell and atoms, written as CIF:
```
data_Ba2BiS2
_cell_length_a 9.0604
_cell_length_b 9.0604
_cell_length_c 3.9052
_cell_angle_alpha 90.00
_cell_angle_beta 90.00
_cell_angle_gamma 90.00
_space_group_name_H-M_alt 'P 4/m b m'
_space_group_IT_number 127
_space_group_name_Hall '-P 4 2ab'
loop_
_atom_site_label
_atom_site_type_symbol
_atom_site_fract_x
_atom_site_fract_y
_atom_site_fract_z
Ba1 Ba 0.1466 0.3534 0.0000
Bi1 Bi 0.0000 0.0000 0.0000
S1 S 0.1560 0.6560 0.5000
```

***

Record 11
Ba3Bi5S12 after structural relaxation, computed with GGA-PBE.

Results
E_form (uncorrected) (meV per atom): -746

Cell and atoms, written as CIF:
```
data_Ba3Bi5S12
_cell_length_a 17.1515
_cell_length_b 17.1515
_cell_length_c 17.1515
_cell_angle_alpha 90.00
_cell_angle_beta 90.00
_cell_angle_gamma 90.00
_space_group_name_H-M_alt 'I a -3 d'
_space_group_IT_number 230
_space_group_name_Hall '-I 4bd 2c 3'
loop_
_atom_site_label
_atom_site_type_symbol
_atom_site_fract_x
_atom_site_fract_y
_atom_site_fract_z
Ba1 Ba 0.0000 0.2500 0.1250
Bi1 Bi 0.0000 0.0000 0.0000
Bi2 Bi 0.0000 0.2500 0.3750
S1 S 0.0260 0.0584 0.6498
```

***

Record 12
Ba2Bi2S5 after structural relaxation, computed with GGA-PBE.

Results
E_form (uncorrected) (meV per atom): -1100

Cell and atoms, written as CIF:
```
data_Ba2Bi2S5
_cell_length_a 14.6817
_cell_length_b 5.3944
_cell_length_c 8.5553
_cell_angle_alpha 90.00
_cell_angle_beta 124.89
_cell_angle_gamma 90.00
_space_group_name_H-M_alt 'C 1 2/m 1'
_space_group_IT_number 12
loop_
_space_group_symop_operation_xyz
'x,y,z'
'-x,-y,-z'
'-x,y,-z'
'x,-y,z'
'x+1/2,y+1/2,z'
'-x+1/2,-y+1/2,-z'
'-x+1/2,y+1/2,-z'
'x+1/2,-y+1/2,z'
loop_
_atom_site_label
_atom_site_type_symbol
_atom_site_fract_x
_atom_site_fract_y
_atom_site_fract_z
Ba1 Ba 0.1196 0.0000 0.2666
Bi1 Bi 0.1111 0.5000 0.8076
S1 S 0.0000 0.5000 0.0000
S2 S 0.1215 0.5000 0.4920
S3 S 0.1465 0.0000 0.9154
```